Compound: NaFeF2
Source: Alexandria via LeMat-Bulk
Functional: GGA+U
Structure: relaxed Values from VASP.

Calculated values
The calculated total energy is -18.0 eV per cell. As for the total magnetic moment: 3.3 μB per formula unit. The offset from the most stable computed form comes out at 0.0000 eV/atom. The calculation puts the density of states at the Fermi level at 0.3136 states/eV/atom.

The structure in Quantum ESPRESSO input format:
```
&SYSTEM
  ibrav = 0, nat = 4, ntyp = 3
/
ATOMIC_SPECIES
Na 22.99 Na.upf
Fe 55.84 Fe.upf
F 19.00 F.upf
CELL_PARAMETERS angstrom
1.580 0.912 6.515
-1.580 0.912 6.515
0.000 -1.824 6.515
ATOMIC_POSITIONS crystal
Na 0.000 0.000 0.000
Fe 0.500 0.500 0.500
F 0.401 0.401 0.401
F 0.599 0.599 0.599
```